The following is a DFT calculation (PBE-GGA) of crystalline V2CdSn2 at its relaxed geometry.

Computed properties:
Space-group type: P4/mbm
Formation enthalpy at 0 K, kJ/mol of atoms: 25.29
Relative energy among the computed polymorphs, meV/atom: 98

a = 8.1959 Å, b = 8.1959 Å, c = 2.9473 Å
α = 90.00°, β = 90.00°, γ = 90.00°
Closest atoms and distances in Å follow each position.
Atoms (fractional coordinates):
V 0.1062 0.3938 0.0000  1 V 2.46
V 0.3938 0.8938 0.0000  1 V 2.46
V 0.6062 0.1062 0.0000  1 V 2.46
V 0.8938 0.6062 0.0000  1 V 2.46
Cd 0.0000 0.0000 0.5000  2 Cd 2.95, 4 Sn 3.00
Cd 0.5000 0.5000 0.5000  2 Cd 2.95, 4 Sn 3.00
Sn 0.1815 0.6815 0.5000  6 V 2.85-2.87, 2 Sn 2.95, 2 Cd 3.00
Sn 0.3185 0.1815 0.5000  6 V 2.85-2.87, 2 Sn 2.95, 2 Cd 3.00
Sn 0.6815 0.8185 0.5000  6 V 2.85-2.87, 2 Sn 2.95, 2 Cd 3.00
Sn 0.8185 0.3185 0.5000  6 V 2.85-2.87, 2 Sn 2.95, 2 Cd 3.00

---

The following is a DFT calculation (PBE-GGA) of crystalline Ce2NdErN4 at its relaxed geometry.

Computed properties:
Space-group type: P2/m
Formation energy (no corrections), eV/atom: -1.52

a = 6.1460 Å, b = 3.5531 Å, c = 6.1682 Å
α = 90.00°, β = 109.47°, γ = 90.00°
Closest atoms and distances in Å follow each position.
Atoms (fractional coordinates):
Ce 0.0000 0.0000 0.0000  6 N 2.46-2.47
Ce 0.0000 0.5000 0.5000  6 N 2.53
Nd 0.5000 0.0000 0.5000  6 N 2.56-2.57
Er 0.5000 0.5000 0.0000  6 N 2.49-2.50
N 0.2414 0.5000 0.2377  3 Ce 2.46-2.53, 1 Er 2.50, 2 Nd 2.57
N 0.2489 0.0000 0.7585  3 Ce 2.47-2.53, 2 Er 2.49, 1 Nd 2.56
N 0.7511 0.0000 0.2415  3 Ce 2.47-2.53, 2 Er 2.49, 1 Nd 2.56
N 0.7586 0.5000 0.7623  3 Ce 2.46-2.53, 1 Er 2.50, 2 Nd 2.57

---

Number 1: density of states at the Fermi level 0.883 states/eV per atom. Number 2: density of states at the Fermi level 0.565 states/eV per atom.